(1)
A relaxed Ho6Cu2Ir crystal. Source: Alexandria via LeMat-Bulk, functional PBE. Values from VASP.

Geometry as Quantum ESPRESSO input:
```
&SYSTEM
  ibrav = 0, nat = 18, ntyp = 3
/
ATOMIC_SPECIES
Ho 164.93 Ho.upf
Cu 63.55 Cu.upf
Ir 192.22 Ir.upf
ATOMIC_POSITIONS crystal
Ho 0.069 0.244 0.825
Ho 0.207 0.535 0.328
Ho 0.207 0.879 0.672
Ho 0.316 0.240 0.556
Ho 0.316 0.760 0.076
Ho 0.419 0.244 0.175
Ho 0.581 0.756 0.825
Ho 0.684 0.240 0.924
Ho 0.684 0.760 0.444
Ho 0.793 0.121 0.328
Ho 0.793 0.465 0.672
Ho 0.931 0.756 0.175
Cu 0.000 0.123 0.123
Cu 0.000 0.877 0.877
Cu 0.146 0.500 0.646
Cu 0.854 0.500 0.354
Ir 0.500 0.000 0.500
Ir 0.500 0.500 0.000
CELL_PARAMETERS angstrom
-4.725 4.752 4.793
4.725 -4.752 4.793
4.725 4.752 -4.793
```

Computed properties:
Energy of formation ... -0.338 eV/atom
Mass density ... 10.10 Mg/m³
Size of the total moment ... 0.00 Bohr magnetons per cell
DOS(E_F) ... 0.7684 states/eV per atom


(2)
A relaxed Nb2HgBi crystal. Source: Alexandria via LeMat-Bulk, functional PBE. Values from VASP.

Geometry as Quantum ESPRESSO input:
```
&SYSTEM
  ibrav = 0, nat = 4, ntyp = 3
/
ATOMIC_SPECIES
Nb 92.91 Nb.upf
Hg 200.59 Hg.upf
Bi 208.98 Bi.upf
ATOMIC_POSITIONS crystal
Nb 0.250 0.250 0.250
Nb 0.750 0.750 0.750
Hg 0.000 0.000 0.000
Bi 0.500 0.500 0.500
CELL_PARAMETERS angstrom
0.000 3.451 3.451
3.451 0.000 3.451
3.451 3.451 0.000
```

Computed properties:
Energy of formation ... 0.440 eV/atom
E above lowest polymorph ... 0.0 meV/atom
Mass density ... 12.03 Mg/m³
Size of the total moment ... 0.00 Bohr magnetons per cell
DOS(E_F) ... 1.7575 states/eV per atom


(3)
A relaxed Na2InSnSe5 crystal. Source: Alexandria via LeMat-Bulk, functional PBE. Values from VASP.

Geometry as Quantum ESPRESSO input:
```
&SYSTEM
  ibrav = 0, nat = 18, ntyp = 4
/
ATOMIC_SPECIES
Na 22.99 Na.upf
In 114.82 In.upf
Sn 118.71 Sn.upf
Se 78.96 Se.upf
ATOMIC_POSITIONS crystal
Na 0.105 0.895 0.500
Na 0.117 0.883 0.146
Na 0.883 0.117 0.646
Na 0.895 0.105 0.000
In 0.246 0.754 0.891
In 0.754 0.246 0.391
Sn 0.426 0.574 0.289
Sn 0.574 0.426 0.789
Se 0.047 0.953 0.915
Se 0.266 0.734 0.534
Se 0.300 0.700 0.249
Se 0.368 0.632 0.827
Se 0.486 0.514 0.119
Se 0.514 0.486 0.619
Se 0.632 0.368 0.327
Se 0.700 0.300 0.749
Se 0.734 0.266 0.034
Se 0.953 0.047 0.415
CELL_PARAMETERS angstrom
1.929 -10.042 0.000
1.929 10.042 0.000
0.000 0.000 13.010
```

Computed properties:
ΔE_f (raw) ... -0.576 eV per atom
Mass density ... 4.44 Mg/m³
Size of the total moment ... 0.35 Bohr magnetons per cell
DOS(E_F) ... 0.4047 states/eV per atom


(4)
A relaxed Mn3Tc crystal. Source: Alexandria via LeMat-Bulk, functional PBE. Values from VASP.

Geometry as Quantum ESPRESSO input:
```
&SYSTEM
  ibrav = 0, nat = 4, ntyp = 2
/
ATOMIC_SPECIES
Mn 54.94 Mn.upf
Tc 98.00 Tc.upf
ATOMIC_POSITIONS crystal
Mn 0.000 0.000 0.000
Mn 0.257 0.257 0.763
Mn 0.743 0.743 0.237
Tc 0.500 0.500 0.500
CELL_PARAMETERS angstrom
4.271 -1.290 0.000
4.271 1.290 0.000
-0.795 0.000 4.394
```

Computed properties:
Energy of formation ... 0.118 eV/atom
Mass density ... 9.02 Mg/m³
Size of the total moment ... 0.57 Bohr magnetons per cell
DOS(E_F) ... 1.2714 states/eV per atom


(5)
A relaxed Ho2RhAu crystal. Source: Alexandria via LeMat-Bulk, functional PBE. Values from VASP.

Geometry as Quantum ESPRESSO input:
```
&SYSTEM
  ibrav = 0, nat = 4, ntyp = 3
/
ATOMIC_SPECIES
Ho 164.93 Ho.upf
Rh 102.91 Rh.upf
Au 196.97 Au.upf
ATOMIC_POSITIONS crystal
Ho 0.000 0.000 0.237
Ho 0.000 0.000 0.763
Rh 0.500 0.500 0.000
Au 0.500 0.500 0.500
CELL_PARAMETERS angstrom
3.517 0.000 0.000
0.000 3.517 0.000
0.000 0.000 6.927
```

Computed properties:
Energy of formation ... -0.873 eV/atom
Mass density ... 12.20 Mg/m³
Size of the total moment ... 0.00 Bohr magnetons per cell
DOS(E_F) ... 1.0603 states/eV per atom


(6)
A relaxed HoSc6S8 crystal. Source: Alexandria via LeMat-Bulk, functional PBE. Values from VASP.

Geometry as Quantum ESPRESSO input:
```
&SYSTEM
  ibrav = 0, nat = 15, ntyp = 3
/
ATOMIC_SPECIES
Ho 164.93 Ho.upf
Sc 44.96 Sc.upf
S 32.06 S.upf
ATOMIC_POSITIONS crystal
Ho 0.000 0.000 0.000
Sc 0.190 0.564 0.400
Sc 0.400 0.190 0.564
Sc 0.436 0.600 0.810
Sc 0.564 0.400 0.190
Sc 0.600 0.810 0.436
Sc 0.810 0.436 0.600
S 0.139 0.367 0.723
S 0.232 0.232 0.232
S 0.277 0.861 0.633
S 0.367 0.723 0.139
S 0.633 0.277 0.861
S 0.723 0.139 0.367
S 0.768 0.768 0.768
S 0.861 0.633 0.277
CELL_PARAMETERS angstrom
5.051 2.916 3.830
-5.051 2.916 3.830
0.000 -5.832 3.830
```

Computed properties:
ΔE_f (raw) ... -1.616 eV per atom
E above lowest polymorph ... 313.1 meV/atom
Mass density ... 3.39 Mg/m³
Size of the total moment ... 0.01 Bohr magnetons per cell
DOS(E_F) ... 0.7694 states/eV per atom


(7)
A relaxed TbMg3Hg crystal. Source: Alexandria via LeMat-Bulk, functional PBE. Values from VASP.

Geometry as Quantum ESPRESSO input:
```
&SYSTEM
  ibrav = 0, nat = 20, ntyp = 3
/
ATOMIC_SPECIES
Tb 158.93 Tb.upf
Mg 24.30 Mg.upf
Hg 200.59 Hg.upf
ATOMIC_POSITIONS crystal
Tb 0.158 0.250 0.003
Tb 0.342 0.750 0.503
Tb 0.658 0.250 0.497
Tb 0.842 0.750 0.997
Mg 0.070 0.250 0.412
Mg 0.086 0.750 0.215
Mg 0.160 0.750 0.792
Mg 0.340 0.250 0.292
Mg 0.414 0.250 0.715
Mg 0.430 0.750 0.912
Mg 0.570 0.250 0.088
Mg 0.586 0.750 0.285
Mg 0.660 0.750 0.708
Mg 0.840 0.250 0.208
Mg 0.914 0.250 0.785
Mg 0.930 0.750 0.588
Hg 0.145 0.250 0.626
Hg 0.355 0.750 0.126
Hg 0.645 0.250 0.874
Hg 0.855 0.750 0.374
CELL_PARAMETERS angstrom
9.750 0.000 0.000
0.000 3.870 0.000
0.000 0.000 13.019
```

Computed properties:
Energy of formation ... -0.188 eV/atom
Mass density ... 5.85 Mg/m³
Size of the total moment ... 0.00 Bohr magnetons per cell
DOS(E_F) ... 0.5706 states/eV per atom


(8)
A relaxed RbPaCuBr6 crystal. Source: Alexandria via LeMat-Bulk, functional PBE. Values from VASP.

Geometry as Quantum ESPRESSO input:
```
&SYSTEM
  ibrav = 0, nat = 18, ntyp = 4
/
ATOMIC_SPECIES
Rb 85.47 Rb.upf
Pa 231.04 Pa.upf
Cu 63.55 Cu.upf
Br 79.90 Br.upf
ATOMIC_POSITIONS crystal
Rb 0.000 0.000 0.000
Rb 0.000 0.000 0.500
Pa 0.333 0.667 0.250
Pa 0.667 0.333 0.750
Cu 0.333 0.667 0.750
Cu 0.667 0.333 0.250
Br 0.010 0.367 0.649
Br 0.010 0.643 0.851
Br 0.357 0.367 0.851
Br 0.357 0.990 0.649
Br 0.367 0.010 0.149
Br 0.367 0.357 0.351
Br 0.633 0.643 0.649
Br 0.633 0.990 0.851
Br 0.643 0.010 0.351
Br 0.643 0.633 0.149
Br 0.990 0.357 0.149
Br 0.990 0.633 0.351
CELL_PARAMETERS angstrom
7.073 0.000 0.000
-3.536 6.125 0.000
0.000 0.000 15.959
```

Computed properties:
ΔE_f (raw) ... -1.242 eV per atom
Mass density ... 4.13 Mg/m³
Size of the total moment ... 2.01 Bohr magnetons per cell
DOS(E_F) ... 0.0839 states/eV per atom


- Look up the mass density of the second one.
  12.03 Mg/m³


- The highest mass density belongs to which entry?
  Ho2RhAu


- Look up the size of the total moment of the second one.
  0.00 Bohr magnetons per cell